1.
20
Lattice="10.2179 0.0000 0.0000 0.0000 10.2179 0.0000 0.0000 0.0000 2.9413" Properties=species:S:1:pos:R:3 comment="PBE Ti5Fe2IrPd2, relaxed" e_tot_ev_per_atom=-7.91 ef_ev_per_atom=-0.35 pbc="T T T"
Ti 0.0000 5.1090 0.0000
Ti 0.8431 2.0288 0.0000
Ti 2.0288 9.3748 0.0000
Ti 3.0802 4.2658 0.0000
Ti 4.2658 7.1377 0.0000
Ti 5.1090 0.0000 0.0000
Ti 5.9521 3.0802 0.0000
Ti 7.1377 5.9521 0.0000
Ti 8.1892 0.8431 0.0000
Ti 9.3748 8.1892 0.0000
Fe 1.3132 3.7957 1.4707
Fe 3.7957 8.9047 1.4707
Fe 6.4222 1.3132 1.4707
Fe 8.9047 6.4222 1.4707
Ir 0.0000 0.0000 1.4707
Ir 5.1090 5.1090 1.4707
Pd 1.7185 6.8275 1.4707
Pd 3.3904 1.7185 1.4707
Pd 6.8275 8.4994 1.4707
Pd 8.4994 3.3904 1.4707

2.
6
Lattice="4.0721 0.0000 0.0000 -2.0361 3.5266 0.0000 0.0000 0.0000 6.4997" Properties=species:S:1:pos:R:3 comment="PBE LiHoCu2Si2, relaxed" e_tot_ev_per_atom=-4.72 e_form_raw_ev_per_atom=-0.467 pbc="T T T"
Li 0.0000 0.0000 0.0000
Ho 0.0000 0.0000 3.2498
Cu 0.0000 2.3511 1.1300
Cu 2.0361 1.1755 5.3697
Si 0.0000 2.3511 5.0890
Si 2.0361 1.1755 1.4107

3.
4
Lattice="2.9294 0.0000 0.0000 0.0000 2.9294 0.0000 0.0000 0.0000 6.0703" Properties=species:S:1:pos:R:3 comment="PBE Zn2NiOs, relaxed" e_tot_ev_per_atom=-4.77 ef_ev_per_atom=0.12 pbc="T T T"
Zn 0.0000 0.0000 1.4013
Zn 0.0000 0.0000 4.6690
Ni 1.4647 1.4647 0.0000
Os 1.4647 1.4647 3.0351

4.
15
Lattice="4.1463 2.3939 7.0407 -4.1463 2.3939 7.0407 0.0000 -4.7877 7.0407" Properties=species:S:1:pos:R:3 comment="PBE Na3Er3ThSe8, relaxed" e_tot_ev_per_atom=-5.22 e_form_raw_ev_per_atom=-1.693 pbc="T T T"
Na -2.0732 -1.1969 7.0407
Na -2.0732 1.1969 14.0813
Na 0.0000 2.3939 7.0407
Er -4.1463 0.0000 10.5610
Er -2.0732 1.1969 3.5203
Er 2.0732 1.1969 3.5203
Th 0.0000 0.0000 10.5610
Se -2.1138 -1.2204 12.1602
Se 0.0000 0.0000 5.1139
Se 0.0000 -2.4408 8.9618
Se -2.1138 1.2204 8.9618
Se 2.1138 -1.2204 12.1602
Se 0.0000 2.4408 12.1602
Se 0.0000 0.0000 16.0081
Se 2.1138 1.2204 8.9618

5.
8
Lattice="-2.6267 2.6267 6.1721 2.6267 -2.6267 6.1721 2.6267 2.6267 -6.1721" Properties=species:S:1:pos:R:3 comment="PBE TeAu2N, relaxed" e_tot_ev_per_atom=-3.72 e_form_raw_ev_per_atom=0.789 pbc="T T T"
Te 0.0000 0.0000 0.0000
Te 0.0000 2.6267 3.0860
Au 1.3133 -0.5804 4.6291
Au 2.0463 1.3133 1.5430
Au 1.3133 3.2071 -1.5430
Au 0.5804 1.3133 7.7151
N 2.6267 0.0000 3.0860
N 0.0000 0.0000 6.1721

What did the third record say?
4
Lattice="2.9294 0.0000 0.0000 0.0000 2.9294 0.0000 0.0000 0.0000 6.0703" Properties=species:S:1:pos:R:3 comment="PBE Zn2NiOs, relaxed" e_tot_ev_per_atom=-4.77 ef_ev_per_atom=0.12 pbc="T T T"
Zn 0.0000 0.0000 1.4013
Zn 0.0000 0.0000 4.6690
Ni 1.4647 1.4647 0.0000
Os 1.4647 1.4647 3.0351